A relaxed structure of Li2MnO3. Source: the Alexandria database, functional PBE with a Hubbard U.

Geometry as POSCAR:
```
Li2MnO3
1.0
2.684 -1.423 0.000
2.684 1.423 0.000
-1.262 0.000 15.190
Li Mn O
4 2 6
direct
0.000 0.000 0.000
0.000 0.000 0.500
0.376 0.376 0.657
0.624 0.624 0.343
0.335 0.335 0.163
0.665 0.665 0.837
0.000 0.000 0.231
0.000 0.000 0.769
0.318 0.318 0.913
0.321 0.321 0.412
0.679 0.679 0.588
0.682 0.682 0.087
```

Calculated values
Space-group type ... C2/m
Calculated total energy ... -5.90 eV/atom